# KMgTe2I PBE-GGA optimized geometry
data_KMgTe2I
_chemical_formula_sum 'K1 Mg1 Te2 I1'
_space_group_name_H-M_alt 'P 1'
_space_group_IT_number 1
_space_group_name_Hall 'P 1'
_cell_length_a 6.106
_cell_length_b 6.106
_cell_length_c 6.161
_cell_angle_alpha 90.00
_cell_angle_beta 90.00
_cell_angle_gamma 90.00
loop_
_atom_site_label
_atom_site_type_symbol
_atom_site_fract_x
_atom_site_fract_y
_atom_site_fract_z
K1 K 0.000 0.000 0.000
Mg1 Mg 0.500 0.500 0.500
Te1 Te 0.000 0.500 0.000
Te2 Te 0.500 0.000 0.000
I1 I 0.000 0.000 0.500
# - N(E_F): 1.803 states/eV/atom
# - Space group: P4/mmm (123)
# - ΔE_f (raw): 42.8 kJ/mol of atoms
# - Polymorph energy (0 for the lowest one): 997.5 meV per atom



# KMgTlI4 PBE-GGA optimized geometry
data_KMgTlI4
_chemical_formula_sum 'K2 Mg2 Tl2 I8'
_space_group_name_H-M_alt 'P 1'
_space_group_IT_number 1
_space_group_name_Hall 'P 1'
_cell_length_a 8.253
_cell_length_b 8.230
_cell_length_c 9.646
_cell_angle_alpha 90.00
_cell_angle_beta 107.87
_cell_angle_gamma 90.00
loop_
_atom_site_label
_atom_site_type_symbol
_atom_site_fract_x
_atom_site_fract_y
_atom_site_fract_z
K1 K 0.225 0.250 0.060
K2 K 0.775 0.750 0.940
Mg1 Mg 0.241 0.750 0.801
Mg2 Mg 0.759 0.250 0.199
Tl1 Tl 0.242 0.250 0.559
Tl2 Tl 0.758 0.750 0.441
I1 I 0.009 0.003 0.743
I2 I 0.009 0.497 0.743
I3 I 0.427 0.750 0.089
I4 I 0.430 0.750 0.615
I5 I 0.570 0.250 0.385
I6 I 0.573 0.250 0.911
I7 I 0.991 0.503 0.257
I8 I 0.991 0.997 0.257
# - N(E_F): 0.000 states/eV/atom
# - Space group: P2_1/m (11)
# - ΔE_f (raw): -100.6 kJ/mol of atoms



# K2MgTlI6 PBE-GGA optimized geometry
data_K2MgTlI6
_chemical_formula_sum 'K4 Mg2 Tl2 I12'
_space_group_name_H-M_alt 'P 1'
_space_group_IT_number 1
_space_group_name_Hall 'P 1'
_cell_length_a 8.191
_cell_length_b 8.664
_cell_length_c 14.324
_cell_angle_alpha 90.00
_cell_angle_beta 124.70
_cell_angle_gamma 90.00
loop_
_atom_site_label
_atom_site_type_symbol
_atom_site_fract_x
_atom_site_fract_y
_atom_site_fract_z
K1 K 0.218 0.090 0.252
K2 K 0.218 0.410 0.752
K3 K 0.782 0.590 0.248
K4 K 0.782 0.910 0.748
Mg1 Mg 0.500 0.000 0.000
Mg2 Mg 0.500 0.500 0.500
Tl1 Tl 0.000 0.000 0.500
Tl2 Tl 0.000 0.500 0.000
I1 I 0.151 0.178 0.947
I2 I 0.151 0.322 0.447
I3 I 0.267 0.709 0.943
I4 I 0.267 0.791 0.443
I5 I 0.380 0.025 0.764
I6 I 0.380 0.475 0.264
I7 I 0.620 0.525 0.736
I8 I 0.620 0.975 0.236
I9 I 0.733 0.209 0.557
I10 I 0.733 0.291 0.057
I11 I 0.849 0.678 0.553
I12 I 0.849 0.822 0.053
# - N(E_F): 0.660 states/eV/atom
# - Space group: P2_1/c (14)
# - ΔE_f (raw): -93.8 kJ/mol of atoms